No. 1
LaHoAl2Ga2 | PBE | optimized geometry

Unit cell a=4.5237 b=4.5237 c=7.4290 alpha=90.00 beta=90.00 gamma=120.00
Space group P-3m1 (No. 164)
Inequivalent atoms, fractional coordinates:
La: 0.0000 0.0000 0.0000 [1 per cell]
Ho: 0.0000 0.0000 0.5000 [1 per cell]
Al: 0.3333 0.6667 0.7288 [2 per cell]
Ga: 0.3333 0.6667 0.2760 [2 per cell]

Calculated values
For the total magnetization, the calculation gives 0.00 μB per cell. For the energy of formation from the pure elements, the calculation gives -569 meV/atom. Its crystal system is trigonal.

=====

No. 2
AlTcOs2 | PBE | optimized geometry

Unit cell a=2.756 b=4.054 c=5.253 alpha=90.00 beta=102.87 gamma=90.00
Space group P2/m (No. 10)
Inequivalent atoms, fractional coordinates:
Al: 0.000 0.000 0.000 [1 per cell]
Tc: 0.000 0.000 0.500 [1 per cell]
Os: 0.405 0.500 0.239 [2 per cell]

Calculated values
For the total magnetization, the calculation gives 0.00 μB per cell. For the energy of formation from the pure elements, the calculation gives -13 meV/atom. Its crystal system is monoclinic.

=====

No. 3
Tm2ThNi | PBE | optimized geometry

Unit cell a=6.825 b=9.609 c=6.296 alpha=90.00 beta=90.00 gamma=90.00
Space group Pnma (No. 62)
Inequivalent atoms, fractional coordinates:
Tm: 0.179 0.067 0.169 [8 per cell]
Th: 0.038 0.250 0.651 [4 per cell]
Ni: 0.121 0.750 0.940 [4 per cell]

Calculated values
For the total magnetization, the calculation gives 0.00 μB per cell. For the energy of formation from the pure elements, the calculation gives -248 meV/atom. Its crystal system is orthorhombic.

=====

No. 4
Pm5ScCd4 | PBE | optimized geometry

Unit cell a=3.785 b=3.785 c=19.871 alpha=90.00 beta=90.00 gamma=90.00
Space group P4/mmm (No. 123)
Inequivalent atoms, fractional coordinates:
Pm: 0.000 0.000 0.000 [1 per cell]
Pm: 0.000 0.000 0.196 [2 per cell]
Pm: 0.000 0.000 0.394 [2 per cell]
Sc: 0.500 0.500 0.500 [1 per cell]
Cd: 0.500 0.500 0.098 [2 per cell]
Cd: 0.500 0.500 0.296 [2 per cell]

Calculated values
For the total magnetization, the calculation gives 1.22 μB per cell. For the energy of formation from the pure elements, the calculation gives -234 meV/atom. Its crystal system is tetragonal.

=====

No. 5
K2CuTc | PBE | optimized geometry

Unit cell a=12.117 b=12.117 c=4.841 alpha=90.00 beta=90.00 gamma=90.00
Space group I-42d (No. 122)
Inequivalent atoms, fractional coordinates:
K: 0.079 0.250 0.125 [8 per cell]
Cu: 0.000 0.000 0.000 [4 per cell]
Tc: 0.000 0.000 0.500 [4 per cell]

Calculated values
For the total magnetization, the calculation gives 14.86 μB per cell. For the energy of formation from the pure elements, the calculation gives 1155 meV/atom. Its crystal system is tetragonal.

=====

No. 6
CaZrN2 | PBE | optimized geometry

Unit cell a=3.6804 b=3.6804 c=19.1932 alpha=90.00 beta=90.00 gamma=120.00
Space group R-3m (No. 166, hexagonal axes)
Inequivalent atoms, fractional coordinates:
Ca: 0.0000 0.0000 0.0000 [3 per cell]
Zr: 0.0000 0.0000 0.5000 [3 per cell]
N: 0.0000 0.0000 0.3976 [6 per cell]

Calculated values
For the total magnetization, the calculation gives 3.18 μB per cell. Its crystal system is trigonal. For the formation energy without anion corrections, the calculation gives -90 meV/atom.

=====

No. 7
AcGe2Au2 | PBE | optimized geometry

Unit cell a=4.618 b=4.618 c=10.554 alpha=90.00 beta=90.00 gamma=90.00
Space group P4/nmm (No. 129, origin choice 2)
Inequivalent atoms, fractional coordinates:
Ac: 0.250 0.250 0.249 [2 per cell]
Ge: 0.250 0.250 0.870 [2 per cell]
Ge: 0.250 0.750 0.500 [2 per cell]
Au: 0.250 0.250 0.626 [2 per cell]
Au: 0.250 0.750 0.000 [2 per cell]

Calculated values
For the total magnetization, the calculation gives 0.00 μB per cell. For the energy of formation from the pure elements, the calculation gives -614 meV/atom. Its crystal system is tetragonal.

=====

No. 8
LaSmGa | PBE | optimized geometry

Unit cell a=7.252 b=7.252 c=7.252 alpha=90.00 beta=90.00 gamma=90.00
Space group F-43m (No. 216)
Inequivalent atoms, fractional coordinates:
La: 0.000 0.000 0.000 [4 per cell]
Sm: 0.000 0.000 0.500 [4 per cell]
Ga: 0.250 0.250 0.750 [4 per cell]

Calculated values
For the total magnetization, the calculation gives 0.01 μB per cell. For the energy of formation from the pure elements, the calculation gives -259 meV/atom. Its crystal system is cubic.